Entry 1:
First-principles (PBE-GGA) data for a relaxed structure of BeCoRe2Se, as listed in Alexandria.

- total magnetization (μB per cell) = 0.000
- E_form (uncorrected) (eV per atom) = 1.410

Cell: 4.1582 4.1582 4.1953 Å, 90.00 90.00 90.00°
Closest atoms and distances in Å follow each position.
Positions (direct):
Re 0.0000 0.5000 0.0000  2 Be 2.08
Re 0.5000 0.0000 0.0000  2 Be 2.08
Co 0.5000 0.5000 0.5000  4 Se 2.94, 8 Re 2.95
Se 0.0000 0.0000 0.5000  2 Be 2.10
Be 0.0000 0.0000 0.0000  4 Re 2.08, 2 Se 2.10

***

Entry 2:
First-principles (PBE-GGA) data for a relaxed structure of Be2CoReSi, as listed in Alexandria.

- total magnetization (μB per cell) = 0.000
- E_form (uncorrected) (eV per atom) = 0.795

Cell: 3.8482 4.5269 3.8482 Å, 90.00 90.00 90.00°
Closest atoms and distances in Å follow each position.
Positions (direct):
Re 0.0000 0.5000 0.0000  2 Co 2.26
Si 0.5000 0.5000 0.5000  4 Re 2.72, 8 Be 2.97
Co 0.0000 0.0000 0.0000  4 Be 1.92
Be 0.0000 0.0000 0.5000  2 Co 1.92
Be 0.5000 0.0000 0.0000  2 Co 1.92

***

Entry 3:
First-principles (PBE-GGA) data for a relaxed structure of Ta2Be2Co5Re, as listed in Alexandria.

- total magnetization (μB per cell) = 0.000
- DFT formation energy (eV per atom) = -0.213

Cell: 3.3566 8.3254 8.3254 Å, 90.00 90.00 90.00°
Closest atoms and distances in Å follow each position.
Positions (direct):
Ta 0.0000 0.6789 0.1789  3 Be 2.43-2.50, 6 Co 2.69-2.71
Ta 0.0000 0.3211 0.8211  3 Be 2.43-2.50, 6 Co 2.69-2.71
Ta 0.0000 0.1789 0.3211  3 Be 2.43-2.50, 6 Co 2.69-2.71
Ta 0.0000 0.8211 0.6789  3 Be 2.43-2.50, 6 Co 2.69-2.71
Be 0.0000 0.1147 0.6147  6 Co 2.15-2.25
Be 0.0000 0.8853 0.3853  6 Co 2.15-2.25
Be 0.0000 0.6147 0.8853  6 Co 2.15-2.25
Be 0.0000 0.3853 0.1147  6 Co 2.15-2.25
Co 0.5000 0.2115 0.0681  2 Be 2.25, 1 Co 2.47, 2 Re 2.50
Co 0.5000 0.7885 0.9319  2 Be 2.25, 1 Co 2.47, 2 Re 2.50
Co 0.5000 0.0681 0.7885  2 Be 2.25, 1 Co 2.47, 2 Re 2.50
Co 0.5000 0.7115 0.4319  2 Be 2.25, 1 Co 2.47, 2 Re 2.50
Co 0.5000 0.9319 0.2115  2 Be 2.25, 1 Co 2.47, 2 Re 2.50
Co 0.5000 0.2885 0.5681  2 Be 2.25, 1 Co 2.47, 2 Re 2.50
Co 0.5000 0.5681 0.7115  2 Be 2.25, 1 Co 2.47, 2 Re 2.50
Co 0.5000 0.4319 0.2885  2 Be 2.25, 1 Co 2.47, 2 Re 2.50
Co 0.5000 0.5000 0.0000  4 Be 2.15
Co 0.5000 0.0000 0.5000  4 Be 2.15
Re 0.0000 0.0000 0.0000  8 Co 2.50
Re 0.0000 0.5000 0.5000  8 Co 2.50

***

Entry 4:
First-principles (PBE-GGA) data for a relaxed structure of BeVCoRe, as listed in Alexandria.

- total magnetization (μB per cell) = 0.003
- DFT formation energy (eV per atom) = -0.083

Cell: 4.0616 4.0616 4.0616 Å, 60.00 60.00 60.00°
Closest atoms and distances in Å follow each position.
Positions (direct):
Re 0.5000 0.5000 0.5000  4 Be 2.49, 4 V 2.49
Co 0.0000 0.0000 0.0000  4 Be 2.49, 4 V 2.49
Be 0.7500 0.7500 0.7500  4 Re 2.49, 4 Co 2.49
V 0.2500 0.2500 0.2500  4 Co 2.49, 4 Re 2.49

***

Entry 5:
First-principles (PBE-GGA) data for a relaxed structure of Be15Co2Rh2, as listed in Alexandria.

- total magnetization (μB per cell) = 0.000
- DFT formation energy (eV per atom) = -0.259

Cell: 5.5212 5.5212 5.5212 Å, 81.80 81.80 81.80°
Closest atoms and distances in Å follow each position.
Positions (direct):
Be 0.5000 0.0000 0.0000  8 Be 2.10-2.12, 2 Co 2.20
Be 0.0000 0.0000 0.5000  8 Be 2.10-2.12, 2 Co 2.20
Be 0.0000 0.5000 0.0000  8 Be 2.10-2.12, 2 Co 2.20
Be 0.0000 0.6993 0.3007  8 Be 2.12-2.23
Be 0.6993 0.3007 0.0000  8 Be 2.12-2.23
Be 0.3007 0.0000 0.6993  8 Be 2.12-2.23
Be 0.3007 0.6993 0.0000  8 Be 2.12-2.23
Be 0.6993 0.0000 0.3007  8 Be 2.12-2.23
Be 0.0000 0.3007 0.6993  8 Be 2.12-2.23
Be 0.1590 0.6524 0.6524  8 Be 2.08-2.23, 1 Co 2.27
Be 0.6524 0.6524 0.1590  8 Be 2.08-2.23, 1 Co 2.27
Be 0.6524 0.1590 0.6524  8 Be 2.08-2.23, 1 Co 2.27
Be 0.8410 0.3476 0.3476  8 Be 2.08-2.23, 1 Co 2.27
Be 0.3476 0.3476 0.8410  8 Be 2.08-2.23, 1 Co 2.27
Be 0.3476 0.8410 0.3476  8 Be 2.08-2.23, 1 Co 2.27
Co 0.1016 0.1016 0.1016  1 Co 2.20, 12 Be 2.20-2.44
Co 0.8984 0.8984 0.8984  1 Co 2.20, 12 Be 2.20-2.44
Rh 0.3535 0.3535 0.3535  12 Be 2.52-2.68, 1 Co 2.73
Rh 0.6465 0.6465 0.6465  12 Be 2.52-2.68, 1 Co 2.73

***

Entry 6:
First-principles (PBE-GGA) data for a relaxed structure of BeCo2Rh, as listed in Alexandria.

- total magnetization (μB per cell) = 3.330
- DFT formation energy (eV per atom) = -0.083

Cell: 4.6206 4.6206 4.6206 Å, 145.16 127.38 64.67°
Closest atoms and distances in Å follow each position.
Positions (direct):
Co 0.0207 0.0207 0.0000  2 Be 2.22, 2 Co 2.48
Co 0.7567 0.2567 0.5000  4 Be 2.47, 6 Co 2.48-2.77, 4 Rh 2.57-2.69
Rh 0.4791 0.4791 0.0000  2 Be 2.30, 6 Co 2.49-2.57
Be 0.2434 0.7434 0.5000  6 Co 2.22-2.47, 2 Rh 2.30

***

Entry 7:
First-principles (PBE-GGA) data for a relaxed structure of BeCo2Rh, as listed in Alexandria.

- total magnetization (μB per cell) = 3.961
- DFT formation energy (eV per atom) = -0.117

Cell: 3.9868 3.9868 3.9868 Å, 60.00 60.00 60.00°
Closest atoms and distances in Å follow each position.
Positions (direct):
Co 0.0000 0.0000 0.0000  4 Co 2.44, 4 Rh 2.44
Co 0.2500 0.2500 0.2500  4 Be 2.44, 4 Co 2.44
Rh 0.7500 0.7500 0.7500  4 Co 2.44, 4 Be 2.44
Be 0.5000 0.5000 0.5000  4 Rh 2.44, 4 Co 2.44

***

Entry 8:
First-principles (PBE-GGA) data for a relaxed structure of BeCoRh2, as listed in Alexandria.

- total magnetization (μB per cell) = 2.408
- DFT formation energy (eV per atom) = 0.076

Cell: 2.6145 2.6145 8.0725 Å, 90.00 90.00 116.29°
Closest atoms and distances in Å follow each position.
Positions (direct):
Co 0.5000 0.5000 0.7244  2 Be 2.25
Rh 0.0000 0.0000 0.9869  2 Co 2.53, 8 Rh 2.61-2.77
Rh 0.5000 0.5000 0.2848  2 Be 2.24
Be 0.0000 0.0000 0.5040  2 Rh 2.24, 2 Co 2.25

***

Entry 9:
First-principles (PBE-GGA) data for a relaxed structure of Be2CoRh, as listed in Alexandria.

- total magnetization (μB per cell) = 2.160
- DFT formation energy (eV per atom) = 0.047

Cell: 5.8173 5.8173 4.8297 Å, 52.97 52.97 90.00°
Closest atoms and distances in Å follow each position.
Positions (direct):
Co 0.5000 0.5000 0.0000  4 Be 2.11
Co 0.2500 0.7500 0.5000  4 Be 2.11
Rh 0.0000 0.0000 0.0000  4 Be 2.20
Rh 0.7500 0.2500 0.5000  4 Be 2.20
Be 0.6129 0.1250 0.2500  2 Co 2.11, 2 Rh 2.20
Be 0.1371 0.6250 0.2500  2 Co 2.11, 2 Rh 2.20
Be 0.3750 0.3871 0.7500  2 Co 2.11, 2 Rh 2.20
Be 0.8750 0.8629 0.7500  2 Co 2.11, 2 Rh 2.20

***

Entry 10:
First-principles (PBE-GGA) data for a relaxed structure of Be2CoRh, as listed in Alexandria.

- total magnetization (μB per cell) = 0.549
- DFT formation energy (eV per atom) = -0.430

Cell: 2.7096 2.7097 5.3533 Å, 90.00 90.00 90.00°
Closest atoms and distances in Å follow each position.
Positions (direct):
Be 0.0000 0.0000 0.7678  4 Co 2.28, 4 Rh 2.39, 1 Be 2.49
Be 0.0000 0.0000 0.2322  4 Co 2.28, 4 Rh 2.39, 1 Be 2.49
Co 0.5000 0.5000 0.0000  8 Be 2.28
Rh 0.5000 0.5000 0.5000  8 Be 2.39, 2 Co 2.68

***

Entry 11:
First-principles (PBE-GGA) data for a relaxed structure of Be2CoRh, as listed in Alexandria.

- total magnetization (μB per cell) = 1.574
- DFT formation energy (eV per atom) = 0.106

Cell: 2.5256 2.5256 7.5712 Å, 90.00 90.00 114.07°
Closest atoms and distances in Å follow each position.
Positions (direct):
Co 0.0000 0.0000 0.4760  2 Be 2.21
Rh 0.5000 0.5000 0.7688  2 Be 2.27, 4 Rh 2.53
Be 0.0000 0.0000 0.0075  2 Rh 2.27, 6 Be 2.28-2.53
Be 0.5000 0.5000 0.2478  2 Co 2.21, 2 Be 2.28

***

Entry 12:
First-principles (PBE-GGA) data for a relaxed structure of Be2CoRh, as listed in Alexandria.

- total magnetization (μB per cell) = 1.556
- DFT formation energy (eV per atom) = 0.441

Cell: 5.0003 5.0003 5.0003 Å, 59.50 150.35 129.68°
Closest atoms and distances in Å follow each position.
Positions (direct):
Rh 0.0000 0.5000 0.5000  2 Be 2.21
Co 0.0000 0.0000 0.0000  2 Be 2.13
Be 0.0000 0.2453 0.2453  1 Co 2.13, 1 Rh 2.21
Be 0.0000 0.7547 0.7547  1 Co 2.13, 1 Rh 2.21

***

Entry 13:
First-principles (PBE-GGA) data for a relaxed structure of BeCoRh2, as listed in Alexandria.

- total magnetization (μB per cell) = 2.536
- DFT formation energy (eV per atom) = -0.109

Cell: 3.6408 2.6832 5.2622 Å, 71.70 90.00 90.00°
Closest atoms and distances in Å follow each position.
Positions (direct):
Co 0.5000 0.7500 0.7500  2 Be 2.55, 8 Rh 2.59-2.65, 2 Co 2.68
Rh 0.0000 0.1060 0.0144  2 Be 2.30
Rh 0.0000 0.3940 0.4856  2 Be 2.30
Be 0.5000 0.2500 0.2500  4 Rh 2.30, 2 Co 2.55

***

Entry 14:
First-principles (PBE-GGA) data for a relaxed structure of Be4CoRh, as listed in Alexandria.

- total magnetization (μB per cell) = 0.203
- E above lowest polymorph (eV per atom) = 0.000
- DFT formation energy (eV per atom) = -0.385

Cell: 4.2396 4.2396 4.2396 Å, 60.00 60.00 60.00°
Closest atoms and distances in Å follow each position.
Positions (direct):
Be 0.1264 0.6245 0.6245  6 Be 2.11-2.13
Be 0.6245 0.6245 0.6245  6 Be 2.11-2.13
Be 0.6245 0.1264 0.6245  6 Be 2.11-2.13
Be 0.6245 0.6245 0.1264  6 Be 2.11-2.13
Co 0.2500 0.2500 0.2500  12 Be 2.48, 4 Rh 2.60
Rh 0.0000 0.0000 0.0000  12 Be 2.49, 4 Co 2.60

***

Entry 15:
First-principles (PBE-GGA) data for a relaxed structure of BeCo2Rh, as listed in Alexandria.

- total magnetization (μB per cell) = 3.637
- DFT formation energy (eV per atom) = 0.024

Cell: 4.6334 4.6334 2.5657 Å, 81.38 81.38 119.30°
Closest atoms and distances in Å follow each position.
Positions (direct):
Co 0.0000 0.0000 0.0000  4 Co 2.34-2.57, 2 Be 2.47, 2 Rh 2.47
Co 0.5000 0.5000 0.0000  4 Co 2.34-2.57, 2 Rh 2.47, 2 Be 2.47
Rh 0.5000 0.0000 0.5000  2 Be 2.34, 4 Co 2.47, 2 Rh 2.57
Be 0.0000 0.5000 0.5000  2 Rh 2.34, 4 Co 2.47, 2 Be 2.57

***

Entry 16:
First-principles (PBE-GGA) data for a relaxed structure of BeCo2Rh, as listed in Alexandria.

- total magnetization (μB per cell) = 2.972
- DFT formation energy (eV per atom) = 0.006

Cell: 4.4207 4.4207 2.5753 Å, 90.00 90.00 115.64°
Closest atoms and distances in Å follow each position.
Positions (direct):
Co 0.0000 0.0000 0.0000  4 Co 2.35-2.58, 4 Be 2.56, 4 Rh 2.56
Co 0.5000 0.5000 0.0000  4 Co 2.35-2.58, 4 Rh 2.56, 4 Be 2.56
Rh 0.5000 0.0000 0.5000  2 Be 2.35, 8 Co 2.56, 2 Rh 2.58
Be 0.0000 0.5000 0.5000  2 Rh 2.35, 8 Co 2.56, 2 Be 2.58

***

Entry 17:
First-principles (PBE-GGA) data for a relaxed structure of BeCo2Rh, as listed in Alexandria.

- total magnetization (μB per cell) = 2.951
- DFT formation energy (eV per atom) = 0.086

Cell: 4.0698 4.0698 2.7507 Å, 90.00 90.00 90.00°
Closest atoms and distances in Å follow each position.
Positions (direct):
Co 0.0000 0.0000 0.0000  4 Rh 2.46, 4 Be 2.46, 2 Co 2.75
Co 0.5000 0.5000 0.0000  4 Be 2.46, 4 Rh 2.46, 2 Co 2.75
Rh 0.5000 0.0000 0.5000  8 Co 2.46, 2 Rh 2.75
Be 0.0000 0.5000 0.5000  8 Co 2.46, 2 Be 2.75

***

Entry 18:
First-principles (PBE-GGA) data for a relaxed structure of BeCo2Rh, as listed in Alexandria.

- total magnetization (μB per cell) = 2.994
- DFT formation energy (eV per atom) = -0.080

Cell: 4.3981 4.3981 4.2706 Å, 70.76 70.76 34.93°
Closest atoms and distances in Å follow each position.
Positions (direct):
Co 0.0150 0.0150 0.0345  2 Be 2.33, 3 Co 2.39-2.40, 4 Rh 2.52-2.53
Co 0.2602 0.2602 0.1981  5 Co 2.39-2.64, 4 Be 2.51-2.52, 2 Rh 2.65
Rh 0.4842 0.4842 0.5566  3 Be 2.33-2.46, 4 Co 2.52-2.53
Be 0.7406 0.7406 0.7109  3 Rh 2.33-2.46, 6 Co 2.33-2.52

***

Entry 19:
First-principles (PBE-GGA) data for a relaxed structure of BeCoRh3, as listed in Alexandria.

- total magnetization (μB per cell) = 3.840
- E above lowest polymorph (eV per atom) = 0.849
- DFT formation energy (eV per atom) = 1.222

Cell: 4.4211 4.4211 4.4211 Å, 90.00 90.00 90.00°
Closest atoms and distances in Å follow each position.
Positions (direct):
Co 0.0000 0.0000 0.0000  6 Rh 2.21
Rh 0.0000 0.5000 0.0000  2 Co 2.21
Rh 0.0000 0.0000 0.5000  2 Co 2.21
Rh 0.5000 0.0000 0.0000  2 Co 2.21
Be 0.5000 0.5000 0.5000  12 Rh 3.13

***

Entry 20:
First-principles (PBE-GGA) data for a relaxed structure of BeCoRh2, as listed in Alexandria.

- total magnetization (μB per cell) = 2.843
- DFT formation energy (eV per atom) = -0.175

Cell: 4.1242 4.1241 2.8337 Å, 90.00 90.00 89.93°
Closest atoms and distances in Å follow each position.
Positions (direct):
Co 0.0000 0.5000 0.5000  8 Rh 2.50
Rh 0.0000 0.0000 0.0000  4 Co 2.50, 4 Be 2.50
Rh 0.5000 0.5000 0.0000  4 Be 2.50, 4 Co 2.50
Be 0.5000 0.0000 0.5000  8 Rh 2.50